DFT (PBE-GGA) results for an optimized crystal structure of Ta2NbC2.

Cell lengths 5.429, 5.429, 5.478 Å; angles 100.23, 100.23, 119.49 degrees
Element x y z (fractional)
Ta: 0.074 0.926 0.750
Ta: 0.251 0.749 0.250
Ta: 0.749 0.251 0.750
Ta: 0.926 0.074 0.250
Nb: 0.424 0.576 0.750
Nb: 0.576 0.424 0.250
C: 0.163 0.330 0.000
C: 0.330 0.163 0.500
C: 0.670 0.837 0.500
C: 0.837 0.670 0.000

Computed properties:
- Energy relative to the elements: -0.561 eV/atom
- Symmetry: C2/c, No. 15



DFT (PBE-GGA) results for an optimized crystal structure of Ta2Nb3C4.

Cell lengths 5.477, 5.477, 7.767 Å; angles 118.63, 118.63, 33.72 degrees
Element x y z (fractional)
Ta: 0.104 0.104 0.391
Ta: 0.896 0.896 0.609
Nb: 0.294 0.294 0.195
Nb: 0.500 0.500 0.000
Nb: 0.706 0.706 0.805
C: 0.101 0.101 0.899
C: 0.300 0.300 0.693
C: 0.700 0.700 0.307
C: 0.899 0.899 0.101

Computed properties:
- Energy relative to the elements: -0.555 eV/atom
- Symmetry: C2/m, No. 12



DFT (PBE-GGA) results for an optimized crystal structure of Ta3NbC.

Cell lengths 9.928, 9.928, 5.147 Å; angles 102.15, 102.15, 18.64 degrees
Element x y z (fractional)
Ta: 0.057 0.057 0.292
Ta: 0.184 0.184 0.862
Ta: 0.316 0.316 0.637
Ta: 0.684 0.684 0.363
Ta: 0.816 0.816 0.138
Ta: 0.943 0.943 0.708
Nb: 0.441 0.441 0.208
Nb: 0.559 0.559 0.792
C: 0.250 0.250 0.250
C: 0.750 0.750 0.750

Computed properties:
- Energy relative to the elements: -0.283 eV/atom
- Symmetry: C2/m, No. 12



DFT (PBE-GGA) results for an optimized crystal structure of Ta2Nb2C3.

Cell lengths 3.174, 5.450, 5.453 Å; angles 100.22, 90.08, 106.89 degrees
Element x y z (fractional)
Ta: 0.131 0.261 0.369
Ta: 0.869 0.739 0.631
Nb: 0.376 0.749 0.119
Nb: 0.624 0.251 0.881
C: 0.000 0.000 0.000
C: 0.253 0.508 0.747
C: 0.747 0.492 0.253

Computed properties:
- Energy relative to the elements: -0.566 eV/atom
- Symmetry: P-1, No. 2



DFT (PBE-GGA) results for an optimized crystal structure of TaNbC.

Cell lengths 3.069, 3.069, 4.554 Å; angles 90.00, 90.00, 90.00 degrees
Element x y z (fractional)
Ta: 0.000 0.000 0.000
Nb: 0.500 0.500 0.500
C: 0.500 0.500 0.000

Computed properties:
- Energy relative to the elements: -0.346 eV/atom
- Symmetry: P4/mmm, No. 123



DFT (PBE-GGA) results for an optimized crystal structure of TaNbC.

Cell lengths 4.431, 4.431, 8.836 Å; angles 90.00, 90.00, 90.00 degrees
Element x y z (fractional)
Ta: 0.000 0.000 0.000
Ta: 0.000 0.500 0.250
Ta: 0.500 0.000 0.750
Ta: 0.500 0.500 0.500
Nb: 0.000 0.000 0.519
Nb: 0.000 0.500 0.769
Nb: 0.500 0.000 0.269
Nb: 0.500 0.500 0.019
C: 0.000 0.000 0.761
C: 0.000 0.500 0.011
C: 0.500 0.000 0.511
C: 0.500 0.500 0.261

Computed properties:
- Energy relative to the elements: -0.393 eV/atom
- Symmetry: I4_1md, No. 109



DFT (PBE-GGA) results for an optimized crystal structure of TaNbC2.

Cell lengths 5.460, 5.566, 3.146 Å; angles 90.00, 90.00, 90.00 degrees
Element x y z (fractional)
Ta: 0.000 0.000 0.000
Ta: 0.500 0.500 0.500
Nb: 0.000 0.500 0.000
Nb: 0.500 0.000 0.500
C: 0.167 0.247 0.500
C: 0.333 0.747 0.000
C: 0.667 0.253 0.000
C: 0.833 0.753 0.500

Computed properties:
- Energy relative to the elements: -0.175 eV/atom
- Symmetry: Pnnm, No. 58



DFT (PBE-GGA) results for an optimized crystal structure of TaNb3C.

Cell lengths 4.349, 4.349, 4.349 Å; angles 90.00, 90.00, 90.00 degrees
Element x y z (fractional)
Ta: 0.000 0.000 0.000
Nb: 0.000 0.500 0.500
Nb: 0.500 0.000 0.500
Nb: 0.500 0.500 0.000
C: 0.500 0.500 0.500

Computed properties:
- Energy relative to the elements: -0.073 eV/atom
- Symmetry: Pm-3m, No. 221



DFT (PBE-GGA) results for an optimized crystal structure of TaNbC2.

Cell lengths 3.134, 3.134, 16.306 Å; angles 90.00, 90.00, 120.00 degrees
Element x y z (fractional)
Ta: 0.000 0.000 0.000
Ta: 0.333 0.667 0.667
Ta: 0.667 0.333 0.333
Nb: 0.000 0.000 0.822
Nb: 0.333 0.667 0.489
Nb: 0.667 0.333 0.155
C: 0.000 0.000 0.408
C: 0.000 0.000 0.581
C: 0.333 0.667 0.075
C: 0.333 0.667 0.247
C: 0.667 0.333 0.742
C: 0.667 0.333 0.914

Computed properties:
- Energy relative to the elements: -0.484 eV/atom
- Symmetry: R3m, No. 160



DFT (PBE-GGA) results for an optimized crystal structure of Ta2NbC3.

Cell lengths 3.181, 4.475, 9.538 Å; angles 90.00, 90.00, 90.00 degrees
Element x y z (fractional)
Ta: 0.000 0.000 0.165
Ta: 0.000 0.000 0.835
Ta: 0.500 0.500 0.335
Ta: 0.500 0.500 0.665
Nb: 0.000 0.000 0.500
Nb: 0.500 0.500 0.000
C: 0.000 0.500 0.170
C: 0.000 0.500 0.500
C: 0.000 0.500 0.830
C: 0.500 0.000 0.000
C: 0.500 0.000 0.330
C: 0.500 0.000 0.670

Computed properties:
- Energy relative to the elements: -0.553 eV/atom
- Symmetry: Immm, No. 71



DFT (PBE-GGA) results for an optimized crystal structure of Ta3NbC4.

Cell lengths 6.365, 8.958, 3.170 Å; angles 90.00, 90.00, 90.00 degrees
Element x y z (fractional)
Ta: 0.000 0.000 0.000
Ta: 0.250 0.250 0.500
Ta: 0.250 0.750 0.500
Ta: 0.500 0.500 0.000
Ta: 0.750 0.250 0.500
Ta: 0.750 0.750 0.500
Nb: 0.000 0.500 0.000
Nb: 0.500 0.000 0.000
C: 0.000 0.248 0.000
C: 0.000 0.752 0.000
C: 0.246 0.000 0.500
C: 0.254 0.500 0.500
C: 0.500 0.252 0.000
C: 0.500 0.748 0.000
C: 0.746 0.500 0.500
C: 0.754 0.000 0.500

Computed properties:
- Energy relative to the elements: -0.560 eV/atom
- Symmetry: Cmmm, No. 65



DFT (PBE-GGA) results for an optimized crystal structure of TaNbC3.

Cell lengths 4.040, 4.040, 4.040 Å; angles 90.00, 90.00, 90.00 degrees
Element x y z (fractional)
Ta: 0.000 0.000 0.000
Nb: 0.500 0.500 0.500
C: 0.000 0.500 0.500
C: 0.500 0.000 0.500
C: 0.500 0.500 0.000

Computed properties:
- Energy relative to the elements: 1.929 eV/atom
- Symmetry: Pm-3m, No. 221



DFT (PBE-GGA) results for an optimized crystal structure of Ta2NbC2.

Cell lengths 6.748, 6.748, 2.852 Å; angles 90.00, 90.00, 90.00 degrees
Element x y z (fractional)
Ta: 0.141 0.359 0.000
Ta: 0.359 0.859 0.000
Ta: 0.641 0.141 0.000
Ta: 0.859 0.641 0.000
Nb: 0.000 0.000 0.000
Nb: 0.500 0.500 0.000
C: 0.155 0.655 0.500
C: 0.345 0.155 0.500
C: 0.655 0.845 0.500
C: 0.845 0.345 0.500

Computed properties:
- Energy relative to the elements: 0.933 eV/atom
- Symmetry: P4/mbm, No. 127



DFT (PBE-GGA) results for an optimized crystal structure of TaNbC2.

Cell lengths 4.848, 4.848, 9.702 Å; angles 90.00, 90.00, 90.00 degrees
Element x y z (fractional)
Ta: 0.000 0.000 0.000
Ta: 0.000 0.500 0.250
Ta: 0.500 0.000 0.750
Ta: 0.500 0.500 0.500
Nb: 0.000 0.000 0.500
Nb: 0.000 0.500 0.750
Nb: 0.500 0.000 0.250
Nb: 0.500 0.500 0.000
C: 0.247 0.250 0.125
C: 0.250 0.747 0.375
C: 0.250 0.753 0.875
C: 0.253 0.250 0.625
C: 0.747 0.750 0.625
C: 0.750 0.247 0.875
C: 0.750 0.253 0.375
C: 0.753 0.750 0.125

Computed properties:
- Energy relative to the elements: 0.008 eV/atom
- Symmetry: I-42d, No. 122



DFT (PBE-GGA) results for an optimized crystal structure of Ta2NbC2.

Cell lengths 4.084, 4.084, 8.331 Å; angles 90.00, 90.00, 90.00 degrees
Element x y z (fractional)
Ta: 0.000 0.000 0.169
Ta: 0.000 0.000 0.831
Ta: 0.500 0.500 0.331
Ta: 0.500 0.500 0.669
Nb: 0.000 0.000 0.500
Nb: 0.500 0.500 0.000
C: 0.000 0.500 0.250
C: 0.000 0.500 0.750
C: 0.500 0.000 0.250
C: 0.500 0.000 0.750

Computed properties:
- Energy relative to the elements: 0.260 eV/atom
- Symmetry: I4/mmm, No. 139



DFT (PBE-GGA) results for an optimized crystal structure of TaNbC.

Cell lengths 10.983, 3.102, 4.983 Å; angles 90.00, 90.00, 90.00 degrees
Element x y z (fractional)
Ta: 0.204 0.250 0.237
Ta: 0.296 0.750 0.737
Ta: 0.704 0.250 0.263
Ta: 0.796 0.750 0.763
Nb: 0.046 0.250 0.746
Nb: 0.454 0.750 0.246
Nb: 0.546 0.250 0.754
Nb: 0.954 0.750 0.254
C: 0.126 0.750 0.489
C: 0.374 0.250 0.989
C: 0.626 0.750 0.011
C: 0.874 0.250 0.511

Computed properties:
- Energy relative to the elements: -0.531 eV/atom
- Symmetry: Pnma, No. 62



DFT (PBE-GGA) results for an optimized crystal structure of TbTa2NbC4.

Cell lengths 5.946, 5.946, 11.615 Å; angles 90.00, 90.00, 148.36 degrees
Element x y z (fractional)
Tb: 0.135 0.865 0.750
Tb: 0.865 0.135 0.250
Ta: 0.369 0.631 0.528
Ta: 0.369 0.631 0.972
Ta: 0.631 0.369 0.028
Ta: 0.631 0.369 0.472
Nb: 0.137 0.863 0.250
Nb: 0.863 0.137 0.750
C: 0.000 0.000 0.000
C: 0.000 0.000 0.500
C: 0.254 0.746 0.111
C: 0.254 0.746 0.389
C: 0.472 0.528 0.750
C: 0.528 0.472 0.250
C: 0.746 0.254 0.611
C: 0.746 0.254 0.889

Computed properties:
- Energy relative to the elements: -0.245 eV/atom
- Symmetry: Cmcm, No. 63



DFT (PBE-GGA) results for an optimized crystal structure of ThTa2NbC4.

Cell lengths 6.039, 6.039, 11.536 Å; angles 90.00, 90.00, 148.26 degrees
Element x y z (fractional)
Th: 0.118 0.882 0.750
Th: 0.882 0.118 0.250
Ta: 0.372 0.628 0.533
Ta: 0.372 0.628 0.967
Ta: 0.628 0.372 0.033
Ta: 0.628 0.372 0.467
Nb: 0.150 0.850 0.250
Nb: 0.850 0.150 0.750
C: 0.000 0.000 0.000
C: 0.000 0.000 0.500
C: 0.260 0.740 0.108
C: 0.260 0.740 0.392
C: 0.458 0.542 0.750
C: 0.542 0.458 0.250
C: 0.740 0.260 0.608
C: 0.740 0.260 0.892

Computed properties:
- Energy relative to the elements: -0.239 eV/atom
- Symmetry: Cmcm, No. 63



DFT (PBE-GGA) results for an optimized crystal structure of Ta2Ti3NbC6.

Cell lengths 5.418, 5.418, 5.403 Å; angles 99.63, 99.63, 120.07 degrees
Element x y z (fractional)
Ta: 0.167 0.833 0.000
Ta: 0.833 0.167 0.000
Ti: 0.000 0.000 0.500
Ti: 0.333 0.667 0.500
Ti: 0.667 0.333 0.500
Nb: 0.500 0.500 0.000
C: 0.079 0.415 0.745
C: 0.249 0.249 0.255
C: 0.415 0.079 0.745
C: 0.585 0.921 0.255
C: 0.751 0.751 0.745
C: 0.921 0.585 0.255

Computed properties:
- Energy relative to the elements: -0.725 eV/atom
- Symmetry: C2/m, No. 12



DFT (PBE-GGA) results for an optimized crystal structure of Ta2TiNbC4.

Cell lengths 5.457, 3.153, 5.464 Å; angles 90.00, 109.76, 90.00 degrees
Element x y z (fractional)
Ta: 0.000 0.000 0.000
Ta: 0.000 0.500 0.500
Ti: 0.500 0.000 0.500
Nb: 0.500 0.500 0.000
C: 0.248 0.000 0.746
C: 0.251 0.500 0.254
C: 0.749 0.500 0.746
C: 0.752 0.000 0.254

Computed properties:
- Energy relative to the elements: -0.645 eV/atom
- Symmetry: P2/m, No. 10